1.
Material: Mn5VGa2
Method: DFT, PBE
State: relaxed Values from VASP.

```
&SYSTEM
  ibrav = 0, nat = 8, ntyp = 3
/
ATOMIC_SPECIES
Mn 54.94 Mn.upf
V 50.94 V.upf
Ga 69.72 Ga.upf
CELL_PARAMETERS angstrom
4.102 0.000 -1.128
-0.310 4.090 -1.128
-0.484 -0.522 6.265
ATOMIC_POSITIONS crystal
Mn 0.500 0.500 0.000
Mn 0.881 0.381 0.761
Mn 0.381 0.881 0.761
Mn 0.119 0.619 0.239
Mn 0.619 0.119 0.239
V 0.000 0.000 0.000
Ga 0.747 0.747 0.494
Ga 0.253 0.253 0.506
```

Calculated values
SG: No. 139
E_form: -0.078 eV/atom

***

2.
Material: VAsRhAu2
Method: DFT, PBE
State: relaxed Values from VASP.

```
&SYSTEM
  ibrav = 0, nat = 5, ntyp = 4
/
ATOMIC_SPECIES
Rh 102.91 Rh.upf
As 74.92 As.upf
Au 196.97 Au.upf
V 50.94 V.upf
CELL_PARAMETERS angstrom
-0.657 -1.748 -4.386
-4.026 -1.832 1.333
-2.244 4.012 -1.263
ATOMIC_POSITIONS crystal
Rh 0.500 0.500 0.500
As 0.000 0.000 0.000
Au 0.000 0.000 0.500
Au 0.500 0.000 0.000
V 0.000 0.500 0.000
```

Calculated values
SG: No. 123
E_form: 0.873 eV/atom

***

3.
Material: ZrAg2Cl
Method: DFT, PBE
State: relaxed Values from VASP.

```
&SYSTEM
  ibrav = 0, nat = 4, ntyp = 3
/
ATOMIC_SPECIES
Ag 107.87 Ag.upf
Cl 35.45 Cl.upf
Zr 91.22 Zr.upf
CELL_PARAMETERS angstrom
3.855 0.000 0.000
0.000 3.855 0.000
0.000 0.000 5.290
ATOMIC_POSITIONS crystal
Ag 0.000 0.000 0.000
Ag 0.500 0.500 0.000
Cl 0.500 0.000 0.500
Zr 0.000 0.500 0.500
```

Calculated values
SG: No. 123
formation energy from raw total energies: -30 meV per atom

***

4.
Material: Ta3VZn
Method: DFT, PBE
State: relaxed Values from VASP.

```
&SYSTEM
  ibrav = 0, nat = 5, ntyp = 3
/
ATOMIC_SPECIES
Zn 65.41 Zn.upf
Ta 180.95 Ta.upf
V 50.94 V.upf
CELL_PARAMETERS angstrom
4.681 0.000 0.000
0.000 4.681 0.000
0.000 0.000 4.681
ATOMIC_POSITIONS crystal
Zn 0.000 0.000 0.000
Ta 0.000 0.500 0.000
Ta 0.000 0.000 0.500
Ta 0.500 0.000 0.000
V 0.500 0.500 0.500
```

Calculated values
SG: No. 221
E_form: 1.494 eV/atom

***

5.
Material: La2HoErTm5
Method: DFT, PBE
State: relaxed Values from VASP.

```
&SYSTEM
  ibrav = 0, nat = 18, ntyp = 4
/
ATOMIC_SPECIES
La 138.91 La.upf
Ho 164.93 Ho.upf
Er 167.26 Er.upf
Tm 168.93 Tm.upf
CELL_PARAMETERS angstrom
-4.318 0.523 3.527
2.550 -9.886 0.142
6.792 1.867 8.039
ATOMIC_POSITIONS crystal
La 0.885 0.770 0.819
La 0.112 0.224 0.734
La 0.115 0.230 0.319
La 0.888 0.776 0.234
Ho 0.799 0.598 0.511
Ho 0.201 0.402 0.011
Er 0.586 0.172 0.962
Er 0.414 0.828 0.462
Tm 0.390 0.780 0.021
Tm 0.717 0.434 0.805
Tm 0.480 0.960 0.739
Tm 0.300 0.599 0.707
Tm 0.983 0.966 0.526
Tm 0.610 0.220 0.521
Tm 0.283 0.566 0.305
Tm 0.520 0.040 0.239
Tm 0.700 0.401 0.207
Tm 0.017 0.034 0.026
```

Calculated values
SG: No. 36
E_form: 0.141 eV/atom

***

6.
Material: TmMgInSn
Method: DFT, PBE
State: relaxed Values from VASP.

```
&SYSTEM
  ibrav = 0, nat = 4, ntyp = 4
/
ATOMIC_SPECIES
Tm 168.93 Tm.upf
Mg 24.30 Mg.upf
In 114.82 In.upf
Sn 118.71 Sn.upf
CELL_PARAMETERS angstrom
-4.291 0.956 -0.488
-0.958 -2.353 3.813
0.584 3.938 2.578
ATOMIC_POSITIONS crystal
Tm 0.500 0.500 0.000
Mg 0.500 0.000 0.500
In 0.000 0.500 0.500
Sn 0.000 0.000 0.000
```

Calculated values
SG: No. 47
E_form: -0.413 eV/atom

***

7.
Material: LiEuDyCd
Method: DFT, PBE
State: relaxed Values from VASP.

```
&SYSTEM
  ibrav = 0, nat = 4, ntyp = 4
/
ATOMIC_SPECIES
Eu 151.96 Eu.upf
Cd 112.41 Cd.upf
Li 6.94 Li.upf
Dy 162.50 Dy.upf
CELL_PARAMETERS angstrom
5.406 0.000 0.000
2.703 4.682 0.000
2.703 1.561 4.414
ATOMIC_POSITIONS crystal
Eu 0.000 0.000 0.000
Cd 0.750 0.750 0.750
Li 0.250 0.250 0.250
Dy 0.500 0.500 0.500
```

Calculated values
SG: No. 216
E_form: -0.102 eV/atom

***

8.
Material: MnNi2Se4
Method: DFT, PBE
State: relaxed Values from VASP.

```
&SYSTEM
  ibrav = 0, nat = 28, ntyp = 3
/
ATOMIC_SPECIES
Mn 54.94 Mn.upf
Ni 58.69 Ni.upf
Se 78.96 Se.upf
CELL_PARAMETERS angstrom
7.209 0.000 0.000
-3.605 5.891 -2.053
0.000 -0.074 12.496
ATOMIC_POSITIONS crystal
Mn 0.937 0.374 0.312
Mn 0.437 0.374 0.812
Mn 0.563 0.626 0.188
Mn 0.063 0.626 0.688
Ni 0.500 0.000 0.000
Ni 0.000 0.000 0.500
Ni 0.000 0.500 0.000
Ni 0.500 0.500 0.500
Ni 0.250 0.000 0.250
Ni 0.750 0.000 0.750
Ni 0.500 0.000 0.500
Ni 0.000 0.000 0.000
Se 0.359 0.761 0.119
Se 0.858 0.761 0.620
Se 0.142 0.239 0.380
Se 0.641 0.239 0.881
Se 0.142 0.783 0.380
Se 0.641 0.783 0.880
Se 0.630 0.761 0.392
Se 0.130 0.761 0.892
Se 0.903 0.761 0.120
Se 0.402 0.761 0.619
Se 0.870 0.239 0.108
Se 0.370 0.239 0.608
Se 0.359 0.217 0.120
Se 0.858 0.217 0.620
Se 0.598 0.239 0.381
Se 0.097 0.239 0.880
```

Calculated values
SG: No. 166
formation energy from raw total energies: -291 meV per atom